Here is an optimized crystal structure of KPuMgS3 from the Alexandria database. Energies are from GGA-PBE.

total magnetic moment	10.00	Bohr magnetons per cell
energy relative to the elements, uncorrected	-1.469	eV per atom

abc: 8.727 4.151 9.764
angles: 90.00 105.57 90.00
Space group P2_1/m (No. 11)
Inequivalent atoms, fractional coordinates:
K: 0.198 0.250 0.212 [2 per cell]
Pu: 0.333 0.750 0.858 [2 per cell]
Mg: 0.086 0.250 0.607 [2 per cell]
S: 0.118 0.250 0.860 [2 per cell]
S: 0.196 0.750 0.538 [2 per cell]
S: 0.460 0.750 0.145 [2 per cell]



Here is an optimized crystal structure of CdCu5Br12 from the Alexandria database. Energies are from GGA-PBE.

total magnetic moment	8.19	Bohr magnetons per cell
energy relative to the elements, uncorrected	-0.361	eV per atom

abc: 7.712 10.762 13.709
angles: 90.00 90.26 90.00
Space group C2/m (No. 12)
Inequivalent atoms, fractional coordinates:
Cd: 0.000 0.000 0.000 [2 per cell]
Cu: 0.000 0.167 0.500 [4 per cell]
Cu: 0.000 0.334 0.000 [4 per cell]
Cu: 0.000 0.500 0.500 [2 per cell]
Br: 0.099 0.000 0.608 [4 per cell]
Br: 0.100 0.334 0.607 [8 per cell]
Br: 0.110 0.184 0.883 [8 per cell]
Br: 0.127 0.500 0.901 [4 per cell]



Here is an optimized crystal structure of Tl2SnSbTe4 from the Alexandria database. Energies are from GGA-PBE.

total magnetic moment	0.00	Bohr magnetons per cell
energy relative to the elements, uncorrected	-0.238	eV per atom

abc: 7.732 4.454 8.317
angles: 90.00 108.20 90.00
Space group P2/m (No. 10)
Inequivalent atoms, fractional coordinates:
Tl: 0.000 0.000 0.000 [1 per cell]
Tl: 0.500 0.500 0.000 [1 per cell]
Sn: 0.000 0.500 0.500 [1 per cell]
Sb: 0.500 0.000 0.500 [1 per cell]
Te: 0.243 0.000 0.724 [2 per cell]
Te: 0.261 0.500 0.279 [2 per cell]



Here is an optimized crystal structure of VSiP from the Alexandria database. Energies are from GGA-PBE.

total magnetic moment	0.00	Bohr magnetons per cell
energy relative to the elements, uncorrected	-0.312	eV per atom

abc: 5.013 3.303 5.244
angles: 90.00 104.27 90.00
Space group Pm (No. 6)
Inequivalent atoms, fractional coordinates:
V: 0.000 0.000 0.000 [1 per cell]
V: 0.406 0.000 0.560 [1 per cell]
Si: 0.325 0.500 0.887 [1 per cell]
Si: 0.789 0.500 0.627 [1 per cell]
P: 0.064 0.500 0.344 [1 per cell]
P: 0.567 0.000 0.157 [1 per cell]



Here is an optimized crystal structure of NaGaTe2 from the Alexandria database. Energies are from GGA-PBE.

total magnetic moment	0.00	Bohr magnetons per cell
energy relative to the elements, uncorrected	-0.326	eV per atom

abc: 4.7175 4.7175 20.0365
angles: 90.00 90.00 120.00
Space group R3m (No. 160, hexagonal axes)
Inequivalent atoms, fractional coordinates:
Na: 0.0000 0.0000 0.0000 [3 per cell]
Ga: 0.0000 0.0000 0.4202 [3 per cell]
Te: 0.0000 0.0000 0.2900 [3 per cell]
Te: 0.0000 0.0000 0.8101 [3 per cell]



Here is an optimized crystal structure of SiAsW from the Alexandria database. Energies are from GGA-PBE.

total magnetic moment	0.00	Bohr magnetons per cell
energy relative to the elements, uncorrected	0.402	eV per atom

abc: 3.382 4.598 12.819
angles: 90.00 90.00 90.00
Space group Fmm2 (No. 42)
Inequivalent atoms, fractional coordinates:
Si: 0.000 0.000 0.000 [4 per cell]
As: 0.000 0.000 0.307 [4 per cell]
W: 0.000 0.000 0.649 [4 per cell]



The following electronic total energy values (in eV per atom) correspond, in order, to the records above: -6.37; -2.66; -3.42; -6.96; -2.98; -7.27.
The following calculated volume values (in Å³/f.u.) correspond, in order, to the records above: 170.4; 568.9; 272.1; 42.1; 128.7; 49.8.